1.
This record from the Alexandria database describes crystalline PmGaTe3 at its relaxed geometry. The functional is GGA-PBE.

a b c (Å): 7.599 8.007 12.482
angles (deg): 90.00 121.17 90.00
Space group P2_1/c (No. 14)
Inequivalent atoms, fractional coordinates:
1 Pm 0.164 0.127 0.222 (multiplicity 4)
2 Ga 0.264 0.662 0.120 (multiplicity 4)
3 Te 0.088 0.202 0.935 (multiplicity 4)
4 Te 0.257 0.678 0.909 (multiplicity 4)
5 Te 0.464 0.051 0.809 (multiplicity 4)

Summary:
* E: -4.23 eV per atom
* ΔE_f (raw): -0.790 eV per atom
* calculated density: 6.1 g/cm³

=====

2.
This record from the Alexandria database describes crystalline CaZrSi at its relaxed geometry. The functional is GGA-PBE.

a b c (Å): 3.651 3.651 11.123
angles (deg): 90.00 90.00 90.00
Space group P4/nmm (No. 129, origin choice 2)
Inequivalent atoms, fractional coordinates:
1 Ca 0.250 0.250 0.141 (multiplicity 2)
2 Zr 0.250 0.250 0.420 (multiplicity 2)
3 Si 0.250 0.250 0.674 (multiplicity 2)

Summary:
* E: -5.77 eV per atom
* ΔE_f (raw): -0.446 eV per atom
* calculated density: 3.6 g/cm³
* DOS at the Fermi energy: 2.0 states/eV/f.u.

=====

3.
This record from the Alexandria database describes crystalline K2YInSe4 at its relaxed geometry. The functional is GGA-PBE.

a b c (Å): 8.586 8.662 12.337
angles (deg): 90.00 90.00 90.00
Space group Imma (No. 74)
Inequivalent atoms, fractional coordinates:
1 K 0.000 0.000 0.000 (multiplicity 4)
2 K 0.250 0.250 0.250 (multiplicity 4)
3 Y 0.000 0.000 0.500 (multiplicity 4)
4 In 0.250 0.250 0.750 (multiplicity 4)
5 Se 0.000 0.034 0.738 (multiplicity 8)
6 Se 0.225 0.250 0.513 (multiplicity 8)

Summary:
* E: -4.42 eV per atom
* ΔE_f (raw): -1.251 eV per atom
* calculated density: 4.3 g/cm³

=====

4.
This record from the Alexandria database describes crystalline LaBe2Os at its relaxed geometry. The functional is GGA-PBE.

a b c (Å): 5.339 7.323 3.189
angles (deg): 90.00 90.32 90.00
Space group C2/m (No. 12)
Inequivalent atoms, fractional coordinates:
1 La 0.000 0.000 0.000 (multiplicity 2)
2 Be 0.250 0.250 0.500 (multiplicity 4)
3 Os 0.000 0.500 0.000 (multiplicity 2)

Summary:
* E: -5.35 eV per atom
* calculated density: 9.2 g/cm³
* excess energy over the best structure of this formula in the dataset: 0.6917 eV/atom
* energy relative to the elements: 553 meV/atom
* DOS at the Fermi energy: 2.9 states/eV/f.u.

=====

5.
This record from the Alexandria database describes crystalline RhSeCl at its relaxed geometry. The functional is GGA-PBE.

a b c (Å): 6.289 6.289 6.289
angles (deg): 90.00 90.00 90.00
Space group F-43m (No. 216)
Inequivalent atoms, fractional coordinates:
1 Rh 0.000 0.000 0.000 (multiplicity 4)
2 Se 0.250 0.250 0.750 (multiplicity 4)
3 Cl 0.000 0.000 0.500 (multiplicity 4)

Summary:
* E: -3.56 eV per atom
* ΔE_f (raw): 0.670 eV per atom
* calculated density: 5.8 g/cm³
* DOS at the Fermi energy: 2.3 states/eV/f.u.

=====

6.
This record from the Alexandria database describes crystalline NaLaFe2Sb at its relaxed geometry. The functional is GGA-PBE.

a b c (Å): 4.899 4.899 5.247
angles (deg): 90.00 90.00 90.00
Space group P4/mmm (No. 123)
Inequivalent atoms, fractional coordinates:
1 Na 0.000 0.000 0.000 (multiplicity 1)
2 La 0.500 0.500 0.000 (multiplicity 1)
3 Fe 0.000 0.500 0.500 (multiplicity 2)
4 Sb 0.000 0.000 0.500 (multiplicity 1)

Summary:
* E: -4.87 eV per atom
* ΔE_f (raw): 0.586 eV per atom
* calculated density: 5.2 g/cm³
* DOS at the Fermi energy: 8.5 states/eV/f.u.

=====

7.
This record from the Alexandria database describes crystalline Ca2BiH at its relaxed geometry. The functional is GGA-PBE.

a b c (Å): 5.276 5.276 3.834
angles (deg): 90.00 90.00 90.00
Space group P4/mmm (No. 123)
Inequivalent atoms, fractional coordinates:
1 Ca 0.000 0.500 0.000 (multiplicity 2)
2 Bi 0.000 0.000 0.500 (multiplicity 1)
3 H 0.500 0.500 0.500 (multiplicity 1)

Summary:
* E: -3.15 eV per atom
* calculated density: 4.5 g/cm³
* excess energy over the best structure of this formula in the dataset: 0.3631 eV/atom
* DOS at the Fermi energy: 0.9 states/eV/f.u.

=====

8.
This record from the Alexandria database describes crystalline CrTc3Pb at its relaxed geometry. The functional is GGA-PBE.

a b c (Å): 4.523 4.523 4.523
angles (deg): 90.00 90.00 90.00
Space group Pm-3m (No. 221)
Inequivalent atoms, fractional coordinates:
1 Cr 0.000 0.000 0.000 (multiplicity 1)
2 Tc 0.000 0.000 0.500 (multiplicity 3)
3 Pb 0.500 0.500 0.500 (multiplicity 1)

Summary:
* E: -7.75 eV per atom
* calculated density: 9.9 g/cm³
* energy relative to the elements: 1132 meV/atom
* DOS at the Fermi energy: 4.8 states/eV/f.u.

=====

9.
This record from the Alexandria database describes crystalline CrNiS2Cl at its relaxed geometry. The functional is GGA-PBE.

a b c (Å): 4.497 4.497 4.534
angles (deg): 90.00 90.00 90.00
Space group P4/mmm (No. 123)
Inequivalent atoms, fractional coordinates:
1 Cr 0.000 0.000 0.000 (multiplicity 1)
2 Ni 0.500 0.500 0.500 (multiplicity 1)
3 S 0.000 0.500 0.500 (multiplicity 2)
4 Cl 0.500 0.500 0.000 (multiplicity 1)

Summary:
* E: -4.83 eV per atom
* ΔE_f (raw): 0.267 eV per atom
* calculated density: 3.8 g/cm³
* excess energy over the best structure of this formula in the dataset: 0.0000 eV/atom
* DOS at the Fermi energy: 4.7 states/eV/f.u.

=====

10.
This record from the Alexandria database describes crystalline La2TbRh at its relaxed geometry. The functional is GGA-PBE.

a b c (Å): 3.677 3.677 8.687
angles (deg): 90.00 90.00 90.00
Space group P4/mmm (No. 123)
Inequivalent atoms, fractional coordinates:
1 La 0.000 0.000 0.193 (multiplicity 2)
2 Tb 0.500 0.500 0.500 (multiplicity 1)
3 Rh 0.500 0.500 0.000 (multiplicity 1)

Summary:
* E: -5.74 eV per atom
* calculated density: 7.6 g/cm³
* excess energy over the best structure of this formula in the dataset: 0.1811 eV/atom
* energy relative to the elements: -276 meV/atom
* DOS at the Fermi energy: 6.0 states/eV/f.u.

=====

11.
This record from the Alexandria database describes crystalline CsYO2 at its relaxed geometry. The functional is GGA-PBE.

a b c (Å): 3.5583 3.5583 20.8537
angles (deg): 90.00 90.00 120.00
Space group R3m (No. 160, hexagonal axes)
Inequivalent atoms, fractional coordinates:
1 Cs 0.0000 0.0000 0.0000 (multiplicity 3)
2 Y 0.0000 0.0000 0.1697 (multiplicity 3)
3 O 0.0000 0.0000 0.5595 (multiplicity 3)
4 O 0.0000 0.0000 0.7830 (multiplicity 3)

Summary:
* E: -6.89 eV per atom
* ΔE_f (raw): -2.583 eV per atom
* calculated density: 5.5 g/cm³
* DOS at the Fermi energy: 0.0 states/eV/f.u.

=====

12.
This record from the Alexandria database describes crystalline SrBe2Au2 at its relaxed geometry. The functional is GGA-PBE.

a b c (Å): 7.750 7.750 2.969
angles (deg): 90.00 90.00 90.00
Space group P4/mbm (No. 127)
Inequivalent atoms, fractional coordinates:
1 Sr 0.000 0.000 0.000 (multiplicity 2)
2 Be 0.130 0.370 0.500 (multiplicity 4)
3 Au 0.136 0.636 0.000 (multiplicity 4)

Summary:
* E: -3.08 eV per atom
* calculated density: 9.3 g/cm³
* excess energy over the best structure of this formula in the dataset: 0.3873 eV/atom
* energy relative to the elements: 58 meV/atom
* DOS at the Fermi energy: 1.8 states/eV/f.u.